Version 1
! In2TcCl GGA-PBEsol relaxed; values from VASP
&SYSTEM
  ibrav = 0, nat = 4, ntyp = 3
/
ATOMIC_SPECIES
Tc 98.00 Tc.upf
In 114.82 In.upf
Cl 35.45 Cl.upf
CELL_PARAMETERS angstrom
-0.6917 0.7173 -2.7201
-1.0463 -4.8756 -1.0196
-4.8305 0.7390 1.4232
ATOMIC_POSITIONS angstrom
Tc -3.3681 -1.6227 -1.4881
In -0.6067 -2.3511 -0.8385
In -2.4989 0.4562 0.3829
Cl -0.4281 0.4440 -1.6837
! Total magnetic moment (μB/cell): 0.0

Version 2
! In2TcCl GGA-PBEsol relaxed; values from VASP
&SYSTEM
  ibrav = 0, nat = 4, ntyp = 3
/
ATOMIC_SPECIES
Cl 35.45 Cl.upf
In 114.82 In.upf
Tc 98.00 Tc.upf
CELL_PARAMETERS angstrom
3.0030 0.0000 0.0000
0.0000 3.0030 0.0000
0.0000 0.0000 8.9608
ATOMIC_POSITIONS angstrom
Cl 1.5015 1.5015 6.0066
In 0.0000 0.0000 0.0697
In 1.5015 1.5015 2.6961
Tc 0.0000 0.0000 4.6688
! Total magnetic moment (μB/cell): 0.0

Most stable: version 1. Least stable: version 2.

Version 1
! InTeCl2 GGA-PBEsol relaxed; values from VASP
&SYSTEM
  ibrav = 0, nat = 4, ntyp = 3
/
ATOMIC_SPECIES
Cl 35.45 Cl.upf
Te 127.60 Te.upf
In 114.82 In.upf
CELL_PARAMETERS angstrom
-2.0763 -1.9538 -3.0121
-2.9679 -0.9845 4.0840
-2.9374 4.6749 -1.0076
ATOMIC_POSITIONS angstrom
Cl -2.1328 -1.8927 -2.5639
Cl -2.6849 1.3946 -1.3328
Te -3.7561 1.2370 1.0587
In -2.9679 -1.4484 1.9321
! Total magnetic moment (μB/cell): 0.0

Version 2
! InTeCl2 GGA-PBEsol relaxed; values from VASP
&SYSTEM
  ibrav = 0, nat = 4, ntyp = 3
/
ATOMIC_SPECIES
Cl 35.45 Cl.upf
In 114.82 In.upf
Te 127.60 Te.upf
CELL_PARAMETERS angstrom
-2.8130 -1.4744 0.8992
-0.6057 -3.1079 -0.9325
3.2842 -4.8883 8.3170
ATOMIC_POSITIONS angstrom
Cl 2.0944 -3.9844 6.0772
Cl -2.2290 -5.4862 2.2065
In 0.0000 0.0000 0.0000
Te -0.0673 -4.7353 4.1419
! Total magnetic moment (μB/cell): 0.0

Version 3
! InTeCl2 GGA-PBEsol relaxed; values from VASP
&SYSTEM
  ibrav = 0, nat = 4, ntyp = 3
/
ATOMIC_SPECIES
In 114.82 In.upf
Cl 35.45 Cl.upf
Te 127.60 Te.upf
CELL_PARAMETERS angstrom
-2.1037 -2.1471 1.3130
1.0956 -2.3219 -2.0416
6.6867 -2.5699 6.5109
ATOMIC_POSITIONS angstrom
In -0.5041 -2.2345 -0.3643
Cl 5.5614 -2.1374 5.4152
Cl 1.1253 -0.4325 1.0958
Te 2.8393 -3.5195 2.8912
! Total magnetic moment (μB/cell): 0.0

Version 4
! InTeCl2 GGA-PBEsol relaxed; values from VASP
&SYSTEM
  ibrav = 0, nat = 4, ntyp = 3
/
ATOMIC_SPECIES
Te 127.60 Te.upf
Cl 35.45 Cl.upf
In 114.82 In.upf
CELL_PARAMETERS angstrom
-0.4799 2.7834 -1.9471
0.7102 -2.5359 -3.8001
-6.5539 -1.4545 2.5584
ATOMIC_POSITIONS angstrom
Te -2.6482 -1.8887 -2.0471
Cl -6.1917 -1.1797 -3.1824
Cl -3.4225 0.7339 -1.1294
In -0.2698 0.0442 -2.8924
! Total magnetic moment (μB/cell): 0.0

Most stable: version 1. Least stable: version 2.

Version 1
! TlInCl2 GGA-PBEsol relaxed; values from VASP
&SYSTEM
  ibrav = 0, nat = 4, ntyp = 3
/
ATOMIC_SPECIES
Cl 35.45 Cl.upf
Tl 204.38 Tl.upf
In 114.82 In.upf
CELL_PARAMETERS angstrom
-1.4967 3.9276 -1.3921
-2.8876 0.2079 -3.3500
-6.9730 0.9527 3.1436
ATOMIC_POSITIONS angstrom
Cl -2.8545 1.2709 -0.3866
Cl -8.5028 3.8174 -1.2118
Tl 0.0000 0.0000 0.0000
In -5.6786 2.5441 -0.7992
! Total magnetic moment (μB/cell): 0.0

Version 2
! TlInCl2 GGA-PBEsol relaxed; values from VASP
&SYSTEM
  ibrav = 0, nat = 4, ntyp = 3
/
ATOMIC_SPECIES
Tl 204.38 Tl.upf
In 114.82 In.upf
Cl 35.45 Cl.upf
CELL_PARAMETERS angstrom
3.7323 0.0000 0.0000
0.0000 3.7328 0.0664
0.0000 -0.1499 7.4753
ATOMIC_POSITIONS angstrom
Tl 1.8662 1.8664 0.0332
In 1.8662 1.7915 3.7708
Cl 0.0000 3.6167 5.6637
Cl 0.0000 -0.0338 1.8779
! Total magnetic moment (μB/cell): 0.0

Most stable: version 2. Least stable: version 1.

Version 1
! TlInCl2 GGA-PBEsol relaxed; values from VASP
&SYSTEM
  ibrav = 0, nat = 4, ntyp = 3
/
ATOMIC_SPECIES
Cl 35.45 Cl.upf
Tl 204.38 Tl.upf
In 114.82 In.upf
CELL_PARAMETERS angstrom
4.2525 0.0240 0.0000
-0.0238 4.2526 0.0000
0.0000 0.0000 6.4449
ATOMIC_POSITIONS angstrom
Cl 0.0000 0.0000 0.2270
Cl 2.1144 2.1383 4.4809
Tl 2.1144 2.1383 1.0521
In 0.0000 0.0000 3.9074
! Total magnetic moment (μB/cell): 0.0

Version 2
! TlInCl2 GGA-PBEsol relaxed; values from VASP
&SYSTEM
  ibrav = 0, nat = 4, ntyp = 3
/
ATOMIC_SPECIES
Tl 204.38 Tl.upf
In 114.82 In.upf
Cl 35.45 Cl.upf
CELL_PARAMETERS angstrom
-0.7119 1.9041 -3.6904
-3.6614 -2.4605 -0.5632
-2.8751 3.2190 4.6207
ATOMIC_POSITIONS angstrom
Tl -5.0198 0.6868 -1.0823
In -1.7966 0.1145 -1.9995
Cl -6.6711 2.8144 0.3340
Cl -3.1958 1.4316 1.3552
! Total magnetic moment (μB/cell): 0.0

Version 3
! TlInCl2 GGA-PBEsol relaxed; values from VASP
&SYSTEM
  ibrav = 0, nat = 8, ntyp = 3
/
ATOMIC_SPECIES
Cl 35.45 Cl.upf
In 114.82 In.upf
Tl 204.38 Tl.upf
CELL_PARAMETERS angstrom
7.0757 0.0000 0.0000
0.0000 7.0757 0.0000
-3.5379 -3.5379 6.7208
ATOMIC_POSITIONS angstrom
Cl 5.2719 1.7689 1.6802
Cl -1.7689 -1.7340 5.0406
Cl 1.8039 5.3068 1.6802
Cl 1.7689 1.7340 5.0406
In 3.5379 3.5379 0.0000
In 3.5379 0.0000 3.3604
Tl 0.0000 0.0000 0.0000
Tl 0.0000 3.5379 3.3604
! Total magnetic moment (μB/cell): 0.0

Most stable: version 2. Least stable: version 3.

Version 1
! InWCl GGA-PBEsol relaxed; values from VASP
&SYSTEM
  ibrav = 0, nat = 3, ntyp = 3
/
ATOMIC_SPECIES
W 183.84 W.upf
In 114.82 In.upf
Cl 35.45 Cl.upf
CELL_PARAMETERS angstrom
-0.5756 2.3784 1.5346
-1.6136 -1.5624 1.8161
6.7946 -1.6223 2.3443
ATOMIC_POSITIONS angstrom
W 3.9945 -0.8510 2.8170
In 1.0890 -0.0572 3.2153
Cl 4.1274 -0.7044 5.3580
! Total magnetic moment (μB/cell): 0.0

Version 2
! InWCl GGA-PBEsol relaxed; values from VASP
&SYSTEM
  ibrav = 0, nat = 3, ntyp = 3
/
ATOMIC_SPECIES
W 183.84 W.upf
Cl 35.45 Cl.upf
In 114.82 In.upf
CELL_PARAMETERS angstrom
4.3858 0.0000 0.0000
2.1929 3.7982 0.0000
2.1929 1.2661 3.5810
ATOMIC_POSITIONS angstrom
W 4.3858 2.5321 1.7905
Cl 2.1929 1.2661 0.8952
In 0.0000 0.0000 0.0000
! Total magnetic moment (μB/cell): 0.6

Most stable: version 1. Least stable: version 2.

Version 1
! InW2Cl GGA-PBEsol relaxed; values from VASP
&SYSTEM
  ibrav = 0, nat = 4, ntyp = 3
/
ATOMIC_SPECIES
Cl 35.45 Cl.upf
W 183.84 W.upf
In 114.82 In.upf
CELL_PARAMETERS angstrom
4.2777 0.0000 0.0000
-2.1389 4.3069 -0.0104
0.0000 2.1333 3.7078
ATOMIC_POSITIONS angstrom
Cl 2.1389 1.0666 1.8539
W 0.0000 0.0000 0.0000
W 0.0000 2.6868 0.9218
In 2.1389 3.7534 2.7757
! Total magnetic moment (μB/cell): 0.0

Version 2
! InW2Cl GGA-PBEsol relaxed; values from VASP
&SYSTEM
  ibrav = 0, nat = 4, ntyp = 3
/
ATOMIC_SPECIES
W 183.84 W.upf
Cl 35.45 Cl.upf
In 114.82 In.upf
CELL_PARAMETERS angstrom
4.5302 0.0000 0.0000
2.2651 3.9233 0.0000
2.2651 1.3078 3.6989
ATOMIC_POSITIONS angstrom
W 2.2651 1.3078 0.9247
W 6.7954 3.9233 2.7742
Cl 0.0000 0.0000 0.0000
In 4.5302 2.6155 1.8495
! Total magnetic moment (μB/cell): 0.9

Most stable: version 1. Least stable: version 2.

Version 1
! In2WCl GGA-PBEsol relaxed; values from VASP
&SYSTEM
  ibrav = 0, nat = 4, ntyp = 3
/
ATOMIC_SPECIES
In 114.82 In.upf
W 183.84 W.upf
Cl 35.45 Cl.upf
CELL_PARAMETERS angstrom
-0.9034 1.1772 -2.6990
2.3143 -1.4617 -1.4122
-4.8794 -6.5454 -1.2215
ATOMIC_POSITIONS angstrom
In -3.7620 -5.0466 -0.9418
In -1.1173 -1.4989 -0.2797
W 0.7054 -0.1422 -2.0556
Cl -1.7343 -3.4150 -2.6663
! Total magnetic moment (μB/cell): 0.0

Version 2
! In2WCl GGA-PBEsol relaxed; values from VASP
&SYSTEM
  ibrav = 0, nat = 4, ntyp = 3
/
ATOMIC_SPECIES
Cl 35.45 Cl.upf
In 114.82 In.upf
W 183.84 W.upf
CELL_PARAMETERS angstrom
3.0031 0.0000 0.0000
-1.5016 2.7086 0.0000
0.0000 0.0000 10.2619
ATOMIC_POSITIONS angstrom
Cl 1.5016 0.0000 7.1796
In 0.0000 0.0000 0.0589
In 1.5016 0.0000 2.8578
W 0.0000 0.0000 5.2967
! Total magnetic moment (μB/cell): 0.5

Most stable: version 2. Least stable: version 1.

Version 1
! ZrIn2Cl GGA-PBEsol relaxed; values from VASP
&SYSTEM
  ibrav = 0, nat = 4, ntyp = 3
/
ATOMIC_SPECIES
In 114.82 In.upf
Cl 35.45 Cl.upf
Zr 91.22 Zr.upf
CELL_PARAMETERS angstrom
3.1119 0.0000 0.0000
0.0000 5.3624 0.0107
-1.5559 -1.8174 5.3447
ATOMIC_POSITIONS angstrom
In 1.5559 3.3834 5.2121
In 1.5559 0.6756 2.9814
Cl 0.0000 3.2927 2.1918
Zr 1.5559 2.4195 0.3308
! Total magnetic moment (μB/cell): 0.0

Version 2
! ZrIn2Cl GGA-PBEsol relaxed; values from VASP
&SYSTEM
  ibrav = 0, nat = 4, ntyp = 3
/
ATOMIC_SPECIES
Zr 91.22 Zr.upf
In 114.82 In.upf
Cl 35.45 Cl.upf
CELL_PARAMETERS angstrom
-1.4664 2.7753 -1.1792
-0.9405 0.1629 -3.2143
-8.9676 -2.3923 0.7539
ATOMIC_POSITIONS angstrom
Zr -5.6873 0.2730 -1.8198
In -2.8067 0.1517 -0.9199
In -8.5678 0.3942 -2.7197
Cl 0.0000 0.0000 0.0000
! Total magnetic moment (μB/cell): 0.0

Most stable: version 1. Least stable: version 2.

Version 1
! LaIr2Cl GGA-PBEsol relaxed; values from VASP
&SYSTEM
  ibrav = 0, nat = 4, ntyp = 3
/
ATOMIC_SPECIES
La 138.91 La.upf
Ir 192.22 Ir.upf
Cl 35.45 Cl.upf
CELL_PARAMETERS angstrom
3.0315 0.0000 0.0000
0.0000 4.5075 -0.0338
-1.5157 -2.2074 5.4964
ATOMIC_POSITIONS angstrom
La 0.0000 2.2537 -0.0169
Ir 1.5158 2.2764 2.6630
Ir 0.0000 0.0237 2.7996
Cl 1.5157 0.0000 0.0000
! Total magnetic moment (μB/cell): 0.0

Version 2
! LaIr2Cl GGA-PBEsol relaxed; values from VASP
&SYSTEM
  ibrav = 0, nat = 4, ntyp = 3
/
ATOMIC_SPECIES
Cl 35.45 Cl.upf
Ir 192.22 Ir.upf
La 138.91 La.upf
CELL_PARAMETERS angstrom
3.7768 0.0000 0.0000
0.0000 3.7768 0.0000
-1.8884 -1.8884 5.4169
ATOMIC_POSITIONS angstrom
Cl 0.0000 0.0000 0.0000
Ir 0.0000 1.8884 2.7084
Ir 1.8884 0.0000 2.7084
La 1.8884 1.8884 0.0000
! Total magnetic moment (μB/cell): 0.0

Most stable: version 1. Least stable: version 2.

Version 1
! LaIr2Cl GGA-PBEsol relaxed; values from VASP
&SYSTEM
  ibrav = 0, nat = 4, ntyp = 3
/
ATOMIC_SPECIES
Ir 192.22 Ir.upf
Cl 35.45 Cl.upf
La 138.91 La.upf
CELL_PARAMETERS angstrom
-1.0638 1.2163 2.5416
-2.9498 0.5312 0.2956
-2.4953 -7.8106 4.4778
ATOMIC_POSITIONS angstrom
Ir -2.4855 -7.7397 4.4480
Ir -4.9201 -4.8261 5.6036
Cl -1.6123 -1.4079 1.7833
La -3.2407 -2.9317 3.6155
! Total magnetic moment (μB/cell): 0.0

Version 2
! LaIr2Cl GGA-PBEsol relaxed; values from VASP
&SYSTEM
  ibrav = 0, nat = 4, ntyp = 3
/
ATOMIC_SPECIES
Ir 192.22 Ir.upf
La 138.91 La.upf
Cl 35.45 Cl.upf
CELL_PARAMETERS angstrom
3.5045 0.0000 -0.1716
0.0000 3.4759 0.0000
-1.1879 0.0000 7.5620
ATOMIC_POSITIONS angstrom
Ir 1.2436 1.7379 1.4619
Ir 2.9672 0.0000 0.7715
La -0.4074 0.0000 3.6167
Cl 1.4240 1.7379 5.1496
! Total magnetic moment (μB/cell): 0.0

Most stable: version 2. Least stable: version 1.

Version 1
! MgIr2Cl GGA-PBEsol relaxed; values from VASP
&SYSTEM
  ibrav = 0, nat = 4, ntyp = 3
/
ATOMIC_SPECIES
Cl 35.45 Cl.upf
Mg 24.30 Mg.upf
Ir 192.22 Ir.upf
CELL_PARAMETERS angstrom
-0.3558 1.8833 -3.8748
-1.8241 -3.9188 0.0629
-2.0750 2.2242 3.0717
ATOMIC_POSITIONS angstrom
Cl -2.0647 -1.4414 -1.1223
Mg -1.9495 -0.8473 1.5673
Ir 0.0000 0.0000 0.0000
Ir -2.1902 1.6301 0.3821
! Total magnetic moment (μB/cell): 0.0

Version 2
! MgIr2Cl GGA-PBEsol relaxed; values from VASP
&SYSTEM
  ibrav = 0, nat = 4, ntyp = 3
/
ATOMIC_SPECIES
Ir 192.22 Ir.upf
Cl 35.45 Cl.upf
Mg 24.30 Mg.upf
CELL_PARAMETERS angstrom
2.8883 -0.0105 0.0000
-1.4435 2.5017 0.0000
0.0000 0.0000 8.6083
ATOMIC_POSITIONS angstrom
Ir 0.0000 0.0000 8.5603
Ir 0.7224 1.2456 6.4176
Cl 0.7224 1.2456 2.3137
Mg 0.0000 0.0000 4.2291
! Total magnetic moment (μB/cell): 0.0

Version 3
! MgIr2Cl GGA-PBEsol relaxed; values from VASP
&SYSTEM
  ibrav = 0, nat = 4, ntyp = 3
/
ATOMIC_SPECIES
Mg 24.30 Mg.upf
Cl 35.45 Cl.upf
Ir 192.22 Ir.upf
CELL_PARAMETERS angstrom
3.5240 0.0000 0.0000
0.0000 3.5240 0.0000
-1.7620 -1.7620 5.7437
ATOMIC_POSITIONS angstrom
Mg 1.7620 1.7620 0.0000
Cl 0.0000 0.0000 0.0000
Ir 1.7620 0.0000 2.8719
Ir 0.0000 1.7620 2.8719
! Total magnetic moment (μB/cell): 0.0

Most stable: version 2. Least stable: version 1.

Version 1
! MnIrCl GGA-PBEsol relaxed; values from VASP
&SYSTEM
  ibrav = 0, nat = 3, ntyp = 3
/
ATOMIC_SPECIES
Ir 192.22 Ir.upf
Mn 54.94 Mn.upf
Cl 35.45 Cl.upf
CELL_PARAMETERS angstrom
4.0624 0.0000 0.0000
2.0312 3.5181 0.0000
2.0312 1.1727 3.3169
ATOMIC_POSITIONS angstrom
Ir 0.0000 0.0000 0.0000
Mn 4.0624 2.3454 1.6585
Cl 2.0312 1.1727 0.8292
! Total magnetic moment (μB/cell): 3.7

Version 2
! MnIrCl GGA-PBEsol relaxed; values from VASP
&SYSTEM
  ibrav = 0, nat = 3, ntyp = 3
/
ATOMIC_SPECIES
Ir 192.22 Ir.upf
Mn 54.94 Mn.upf
Cl 35.45 Cl.upf
CELL_PARAMETERS angstrom
-3.8271 -1.1141 1.2702
-0.5195 -3.4666 2.2834
-1.0298 0.2938 4.0441
ATOMIC_POSITIONS angstrom
Ir -1.3441 -1.0717 1.8994
Mn 0.0000 0.0000 0.0000
Cl -2.6882 -2.1434 3.7989
! Total magnetic moment (μB/cell): 3.7

Most stable: version 2. Least stable: version 1.

Version 1
! MnIrCl GGA-PBEsol relaxed; values from VASP
&SYSTEM
  ibrav = 0, nat = 3, ntyp = 3
/
ATOMIC_SPECIES
Mn 54.94 Mn.upf
Ir 192.22 Ir.upf
Cl 35.45 Cl.upf
CELL_PARAMETERS angstrom
-0.3733 1.8088 2.0768
0.6235 -1.9858 1.8417
5.6490 1.6240 -2.2585
ATOMIC_POSITIONS angstrom
Mn 3.8510 1.0241 -0.1996
Ir 2.4625 0.5330 1.8381
Cl 5.4849 1.3368 1.6814
! Total magnetic moment (μB/cell): 2.4

Version 2
! MnIrCl GGA-PBEsol relaxed; values from VASP
&SYSTEM
  ibrav = 0, nat = 3, ntyp = 3
/
ATOMIC_SPECIES
Mn 54.94 Mn.upf
Cl 35.45 Cl.upf
Ir 192.22 Ir.upf
CELL_PARAMETERS angstrom
-1.1596 2.5672 -0.4568
0.7970 -1.6194 -2.2104
-5.7028 -2.6026 -0.1496
ATOMIC_POSITIONS angstrom
Mn -2.3256 0.3419 -1.0890
Cl -0.3460 -0.1579 -0.0091
Ir -3.3938 -1.8388 -1.7187
! Total magnetic moment (μB/cell): 2.7

Most stable: version 2. Least stable: version 1.